(1)
DFT (GGA-PBE) results for crystalline MoH at its relaxed geometry.

Values from the calculation:
As for the final energy: -13.9 eV per cell.

Lattice parameters (Å, degrees): 2.9969 2.9969 2.9969 60.00 60.00 60.00
With the nearest neighbours (Å) after each atom.
Positions (direct):
H 0.0000 0.0000 0.0000  4 Mo 1.84
Mo 0.2500 0.2500 0.2500  4 H 1.84

=====

(2)
DFT (GGA-PBE) results for crystalline Mo5H at its relaxed geometry.

Values from the calculation:
As for the final energy: -50.0 eV per cell.

Lattice parameters (Å, degrees): 5.2079 5.2079 4.4809 90.00 90.00 120.00
With the nearest neighbours (Å) after each atom.
Positions (direct):
H 0.0000 0.0000 0.0000  6 Mo 3.01
Mo 0.6667 0.3333 0.0000  9 Mo 2.70-3.01, 3 H 3.01
Mo 0.3333 0.6667 0.0000  9 Mo 2.70-3.01, 3 H 3.01
Mo 0.5000 0.0000 0.5000  8 Mo 2.60-2.70
Mo 0.0000 0.5000 0.5000  8 Mo 2.60-2.70
Mo 0.5000 0.5000 0.5000  8 Mo 2.60-2.70

=====

(3)
DFT (GGA-PBE) results for crystalline MoH at its relaxed geometry.

Values from the calculation:
As for the final energy: -13.2 eV per cell.

Lattice parameters (Å, degrees): 2.9027 2.9027 2.5792 90.00 90.00 120.00
With the nearest neighbours (Å) after each atom.
Positions (direct):
H 0.6667 0.3333 0.7500  6 Mo 2.11
Mo 0.3333 0.6667 0.2500  6 H 2.11

=====

(4)
DFT (GGA-PBE) results for crystalline NaMoH4 at its relaxed geometry.

Values from the calculation:
As for the final energy: -50.5 eV per cell.

Lattice parameters (Å, degrees): 5.3548 5.3548 5.3548 126.64 126.64 78.85
With the nearest neighbours (Å) after each atom.
Positions (direct):
H 0.3750 0.9164 0.0413  2 Mo 1.88, 3 H 2.01-2.09
H 0.6664 0.1251 0.0414  2 Mo 1.88, 3 H 2.01-2.09
H 0.0836 0.1249 0.4586  2 Mo 1.88, 3 H 2.01-2.09
H 0.3750 0.3336 0.4587  2 Mo 1.88, 3 H 2.01-2.09
H 0.8749 0.9163 0.5413  2 Mo 1.88, 3 H 2.01-2.09
H 0.6663 0.6250 0.5414  2 Mo 1.88, 3 H 2.01-2.09
H 0.0837 0.6250 0.9586  2 Mo 1.88, 3 H 2.01-2.09
H 0.8751 0.3337 0.9587  2 Mo 1.88, 3 H 2.01-2.09
Mo 0.0000 0.0000 0.0000  8 H 1.88
Mo 0.7500 0.2500 0.5000  8 H 1.88
Na 0.5000 0.5000 0.0000  8 H 2.12
Na 0.2500 0.7500 0.5000  8 H 2.12

=====

(5)
DFT (GGA-PBE) results for crystalline Na3MoH6 at its relaxed geometry.

Values from the calculation:
As for the final energy: -35.1 eV per cell.

Lattice parameters (Å, degrees): 5.5182 5.5182 5.5182 60.00 60.00 60.00
With the nearest neighbours (Å) after each atom.
Positions (direct):
H 0.7667 0.2333 0.2333  1 Mo 1.82
H 0.2333 0.7667 0.2333  1 Mo 1.82
H 0.7667 0.7667 0.2333  1 Mo 1.82
H 0.2333 0.2333 0.7667  1 Mo 1.82
H 0.7667 0.2333 0.7667  1 Mo 1.82
H 0.2333 0.7667 0.7667  1 Mo 1.82
Mo 0.0000 0.0000 0.0000  6 H 1.82
Na 0.2500 0.2500 0.2500  12 H 2.76
Na 0.5000 0.5000 0.5000  6 H 2.08
Na 0.7500 0.7500 0.7500  12 H 2.76

=====

(6)
DFT (GGA-PBE) results for crystalline Sr2NiMoH6 at its relaxed geometry.

Values from the calculation:
As for the final energy: -84.2 eV per cell.

Lattice parameters (Å, degrees): 9.7557 9.7557 9.7557 31.81 31.81 31.81
With the nearest neighbours (Å) after each atom.
Positions (direct):
H 0.6105 0.6105 0.1420  1 Mo 1.87, 1 Ni 1.92
H 0.7238 0.1967 0.1967  1 Ni 1.82, 1 Mo 1.95
H 0.1967 0.7238 0.1967  1 Ni 1.82, 1 Mo 1.95
H 0.8033 0.8033 0.2762  1 Ni 1.82, 1 Mo 1.95
H 0.8580 0.3896 0.3896  1 Mo 1.87, 1 Ni 1.92
H 0.3896 0.8580 0.3896  1 Mo 1.87, 1 Ni 1.92
H 0.6104 0.1420 0.6105  1 Mo 1.87, 1 Ni 1.92
H 0.1420 0.6104 0.6105  1 Mo 1.87, 1 Ni 1.92
H 0.1967 0.1967 0.7238  1 Ni 1.82, 1 Mo 1.95
H 0.8033 0.2762 0.8033  1 Ni 1.82, 1 Mo 1.95
H 0.2762 0.8033 0.8033  1 Ni 1.82, 1 Mo 1.95
H 0.3896 0.3896 0.8580  1 Mo 1.87, 1 Ni 1.92
Mo 0.4114 0.4114 0.4114  6 H 1.87-1.95
Mo 0.5886 0.5886 0.5886  6 H 1.87-1.95
Ni 0.0000 0.0000 0.0000  6 H 1.82
Ni 0.5000 0.5000 0.5000  6 H 1.92
Sr 0.1223 0.1223 0.1223  12 H 2.68-2.99
Sr 0.2916 0.2916 0.2916  12 H 2.68-2.77
Sr 0.7084 0.7084 0.7084  12 H 2.68-2.77
Sr 0.8777 0.8777 0.8777  12 H 2.68-2.99

=====

(7)
DFT (GGA-PBE) results for crystalline Sr2MoH6Pd at its relaxed geometry.

Values from the calculation:
As for the final energy: -84.0 eV per cell.

Lattice parameters (Å, degrees): 5.4900 5.5474 9.3989 90.00 125.15 90.00
With the nearest neighbours (Å) after each atom.
Positions (direct):
H 0.7468 0.2438 0.0000  1 Mo 1.91, 1 Pd 1.99
H 0.2532 0.7562 0.0000  1 Mo 1.91, 1 Pd 1.99
H 0.7440 0.7528 0.0004  1 Mo 1.92, 1 Pd 1.99
H 0.7570 0.9988 0.2498  1 Mo 1.92, 1 Pd 1.92
H 0.2430 0.4988 0.2502  1 Mo 1.92, 1 Pd 1.92
H 0.2560 0.2528 0.4996  1 Mo 1.92, 1 Pd 1.99
H 0.2532 0.7438 0.5000  1 Mo 1.91, 1 Pd 1.99
H 0.7468 0.2562 0.5000  1 Mo 1.91, 1 Pd 1.99
H 0.7440 0.7472 0.5004  1 Mo 1.92, 1 Pd 1.99
H 0.7570 0.5012 0.7498  1 Mo 1.92, 1 Pd 1.92
H 0.2430 0.0012 0.7502  1 Mo 1.92, 1 Pd 1.92
H 0.2560 0.2472 0.9996  1 Mo 1.92, 1 Pd 1.99
Mo 0.5000 0.0000 0.0000  6 H 1.91-1.92
Mo 0.5000 0.5000 0.5000  6 H 1.91-1.92
Pd 0.0000 0.5000 0.0000  6 H 1.92-1.99
Pd 0.0000 0.0000 0.5000  6 H 1.92-1.99
Sr 0.7498 0.4999 0.2498  12 H 2.71-2.78
Sr 0.2502 0.9999 0.2502  12 H 2.71-2.78
Sr 0.7498 0.0001 0.7498  12 H 2.71-2.78
Sr 0.2502 0.5001 0.7502  12 H 2.71-2.78

=====

Question: final energy of number 1 (MoH)?
Answer: -13.9 eV per cell

=====

Question: Which of these has the highest final energy?
Answer: number 3